# 1
The following is a PBE calculation of MgTl2SnI6 after structural relaxation, from Alexandria via LeMat-Bulk.

```
20
Lattice="-1.113 3.413 -7.162 -7.698 -3.780 -0.606 -4.950 9.261 5.103" Properties=species:S:1:pos:R:3 pbc="T T T"
Mg -3.031 6.337 -1.030
Mg -3.849 -1.890 -0.303
Tl -8.236 -0.983 0.454
Tl -8.892 6.521 -0.388
Tl -5.524 9.876 -3.119
Tl -4.868 2.372 -2.277
Sn -0.556 1.706 -3.581
Sn -6.324 2.740 2.248
I -5.842 -1.046 -2.326
I -9.936 4.769 -3.440
I -7.918 9.940 -0.338
I -3.824 4.125 0.775
I -7.975 2.572 -0.487
I -11.730 8.554 -1.573
I -5.785 6.322 -2.178
I -2.030 0.340 -1.092
I -6.194 3.256 -5.426
I -11.607 4.464 0.431
I -7.566 5.638 2.761
I -2.153 4.429 -3.096
```

Space group: No. 14
Crystal system: monoclinic
ΔE_f (raw): -697 meV per atom
DFT total energy: -53.20 eV for the cell shown

# 2
The following is a PBE calculation of ZnRe2Ag after structural relaxation, from Alexandria via LeMat-Bulk.

```
4
Lattice="-1.778 -0.568 -4.381 2.882 -3.729 -0.686 -1.902 -1.651 0.986" Properties=species:S:1:pos:R:3 pbc="T T T"
Ag 0.490 -2.690 0.150
Re 0.000 0.000 0.000
Re 0.552 -2.148 -2.534
Zn -1.840 -1.110 -1.698
```

Space group: No. 123
Crystal system: tetragonal
Energy relative to the elements: 0.843 eV per atom
DFT total energy: -25.65 eV for the cell shown